# KHgAs, relaxed, DFT PBE-GGA
# Uncorrected energy = -2.135 eV/atom
# Spin magnetization = 0.000 μB/atom
data_KHgAs
_cell_length_a 5.2376
_cell_length_b 5.2376
_cell_length_c 3.4360
_cell_angle_alpha 90.00
_cell_angle_beta 90.00
_cell_angle_gamma 120.00
_symmetry_space_group_name_H-M 'P -6 m 2'
_symmetry_Int_Tables_number 187
_symmetry_space_group_name_Hall 'P -6 2'
loop_
_atom_site_label
_atom_site_type_symbol
_atom_site_fract_x
_atom_site_fract_y
_atom_site_fract_z
K1 K 0.0000 0.0000 0.0000
Hg1 Hg 0.3333 0.6667 0.5000
As1 As 0.6667 0.3333 0.5000